# 1
Material: KDySiS4
Method: DFT, PBE
State: relaxed

abc: 6.4092 6.6171 8.7305
angles: 90.00 107.31 90.00
Element x y z (fractional)
K 0.2324 0.2500 0.4359
K 0.7676 0.7500 0.5641
Dy 0.2737 0.2500 0.9500
Dy 0.7263 0.7500 0.0500
Si 0.2743 0.7500 0.1709
Si 0.7257 0.2500 0.8291
S 0.0772 0.7500 0.9280
S 0.0778 0.7500 0.3264
S 0.4971 0.9996 0.2093
S 0.4971 0.5004 0.2093
S 0.5029 0.0004 0.7907
S 0.5029 0.4996 0.7907
S 0.9222 0.2500 0.6736
S 0.9228 0.2500 0.0720

- E_form (uncorrected): -136.9 kJ per mole of atoms
- N(E_F): 0.00 states/eV/cell
- SG: P2_1/m (11)
- Total DFT energy (no corrections): -75.12 eV/cell
- Spin magnetization: 0.00 Bohr magnetons per cell

---

# 2
Material: Ac2Pd2Pb3
Method: DFT, PBE
State: relaxed

abc: 11.2101 11.2101 4.0112
angles: 90.00 90.00 156.13
Element x y z (fractional)
Ac 0.1704 0.8296 0.0000
Ac 0.8296 0.1704 0.0000
Pd 0.2881 0.7119 0.5000
Pd 0.7119 0.2881 0.5000
Pb 0.0000 0.0000 0.0000
Pb 0.4242 0.5758 0.5000
Pb 0.5758 0.4242 0.5000

- N(E_F): 4.26 states/eV/cell
- SG: Cmmm (65)
- Total DFT energy (no corrections): -33.57 eV/cell
- DFT formation energy: -0.5483 eV per atom
- Energy relative to the lowest polymorph listed for this composition: 7.2 meV/atom
- Spin magnetization: 0.00 Bohr magnetons per cell

---

# 3
Material: PrInPb2
Method: DFT, PBE
State: relaxed

abc: 11.7007 11.7007 11.7007
angles: 17.80 17.80 17.80
Element x y z (fractional)
Pr 0.0000 0.0000 0.0000
In 0.5000 0.5000 0.5000
Pb 0.0940 0.0940 0.0940
Pb 0.9060 0.9060 0.9060

- N(E_F): 3.36 states/eV/cell
- SG: R-3m (166)
- Total DFT energy (no corrections): -14.61 eV/cell
- DFT formation energy: 0.0816 eV per atom
- Energy relative to the lowest polymorph listed for this composition: 489.4 meV/atom
- Spin magnetization: 0.00 Bohr magnetons per cell

---

# 4
Material: MgAlO2
Method: DFT, PBE
State: relaxed

abc: 5.8645 5.8645 5.8645
angles: 30.85 30.85 30.85
Element x y z (fractional)
Mg 0.0000 0.0000 0.0000
Al 0.5000 0.5000 0.5000
O 0.3976 0.3976 0.3976
O 0.6024 0.6024 0.6024

- E_form (uncorrected): -207.6 kJ per mole of atoms
- N(E_F): 0.93 states/eV/cell
- SG: R-3m (166)
- Total DFT energy (no corrections): -23.86 eV/cell
- Energy relative to the lowest polymorph listed for this composition: 109.4 meV/atom
- Spin magnetization: 0.00 Bohr magnetons per cell

---

# 5
Material: Li2HfInI
Method: DFT, PBE
State: relaxed

abc: 4.8759 4.8759 6.1109
angles: 90.00 90.00 90.00
Element x y z (fractional)
Li 0.0000 0.5000 0.0000
Li 0.5000 0.0000 0.0000
Hf 0.0000 0.0000 0.5000
In 0.5000 0.5000 0.0000
I 0.5000 0.5000 0.5000

- E_form (uncorrected): 78.7 kJ per mole of atoms
- N(E_F): 3.63 states/eV/cell
- SG: P4/mmm (123)
- Total DFT energy (no corrections): -13.99 eV/cell
- Spin magnetization: 0.00 Bohr magnetons per cell

---

# 6
Material: YZr2Co2
Method: DFT, PBE
State: relaxed

abc: 7.8286 7.8286 3.0023
angles: 90.00 90.00 90.00
Element x y z (fractional)
Y 0.0000 0.0000 0.0000
Y 0.5000 0.5000 0.0000
Zr 0.1443 0.3557 0.0000
Zr 0.3557 0.8557 0.0000
Zr 0.6443 0.1443 0.0000
Zr 0.8557 0.6443 0.0000
Co 0.1488 0.6488 0.5000
Co 0.3512 0.1488 0.5000
Co 0.6488 0.8512 0.5000
Co 0.8512 0.3512 0.5000

- N(E_F): 9.67 states/eV/cell
- SG: P4/mbm (127)
- Total DFT energy (no corrections): -75.77 eV/cell
- DFT formation energy: -0.0224 eV per atom
- Energy relative to the lowest polymorph listed for this composition: 192.8 meV/atom
- Spin magnetization: 0.00 Bohr magnetons per cell

---

What did the fifth record say?
Material: Li2HfInI
Method: DFT, PBE
State: relaxed

abc: 4.8759 4.8759 6.1109
angles: 90.00 90.00 90.00
Element x y z (fractional)
Li 0.0000 0.5000 0.0000
Li 0.5000 0.0000 0.0000
Hf 0.0000 0.0000 0.5000
In 0.5000 0.5000 0.0000
I 0.5000 0.5000 0.5000

- E_form (uncorrected): 78.7 kJ per mole of atoms
- N(E_F): 3.63 states/eV/cell
- SG: P4/mmm (123)
- Total DFT energy (no corrections): -13.99 eV/cell
- Spin magnetization: 0.00 Bohr magnetons per cell

---

Question: What is the formula in the first record?
Answer: KDySiS4

---

Question: What is the formula in the fourth record?
Answer: MgAlO2

---

Question: Among the records above, which one has the lowest N(E_F)?
Answer: KDySiS4